(1)
Compound: Rb5PSe4Cl2
Source: Alexandria
Functional: PBE-GGA
Structure: optimized geometry

theoretical density = 3.0 g/cm3
E_form (uncorrected) = -1.18 eV per atom
magnetic moment = 0.00 μB per atom

Cell lengths 8.122, 7.060, 10.054 Å; angles 90.00, 90.00, 125.11 degrees
Fractional coordinates of all 12 atoms:
Rb (0.119, 0.395, 0.245)
Rb (0.409, 0.000, 0.500)
Rb (0.119, 0.395, 0.755)
Rb (0.724, 0.605, 0.755)
Rb (0.724, 0.605, 0.245)
P (0.395, 0.000, 0.000)
Se (0.556, 0.000, 0.181)
Se (0.556, 0.000, 0.819)
Se (0.385, 0.309, 0.000)
Se (0.076, 0.691, 0.000)
Cl (0.939, 0.533, 0.500)
Cl (0.406, 0.467, 0.500)

=====

(2)
Compound: Li2Cd7Ag3
Source: Alexandria
Functional: PBE-GGA
Structure: optimized geometry

theoretical density = 7.4 g/cm3
formation energy from the elements = -0.071 eV per atom
magnetic moment = 0.00 μB per atom

Cell lengths 3.009, 4.693, 17.929 Å; angles 90.00, 95.46, 90.00 degrees
Fractional coordinates of all 12 atoms:
Li (0.871, 0.500, 0.708)
Li (0.129, 0.500, 0.292)
Cd (0.288, 0.500, 0.571)
Cd (0.712, 0.500, 0.429)
Cd (0.395, 0.000, 0.777)
Cd (0.000, 0.000, 0.000)
Cd (0.605, 0.000, 0.223)
Cd (0.078, 0.500, 0.139)
Cd (0.922, 0.500, 0.861)
Ag (0.500, 0.500, 0.000)
Ag (0.816, 0.000, 0.628)
Ag (0.184, 0.000, 0.372)

=====

(3)
Compound: Ho3MnTl3Se8
Source: Alexandria
Functional: PBE-GGA
Structure: optimized geometry

theoretical density = 6.7 g/cm3
E_form (uncorrected) = -1.13 eV per atom
magnetic moment = 0.21 μB per atom

Cell lengths 8.090, 8.090, 9.139 Å; angles 116.27, 90.00, 120.00 degrees
Fractional coordinates of all 15 atoms:
Ho (0.500, 0.000, 0.500)
Ho (0.500, 0.500, 0.500)
Ho (0.000, 0.500, 0.500)
Mn (0.000, 0.000, 0.500)
Tl (0.000, 0.000, 0.000)
Tl (0.000, 0.500, 0.000)
Tl (0.500, 0.500, 0.000)
Se (0.265, 0.529, 0.294)
Se (0.735, 0.471, 0.706)
Se (0.785, 0.571, 0.311)
Se (0.215, 0.429, 0.689)
Se (0.785, 0.025, 0.311)
Se (0.215, 0.975, 0.689)
Se (0.240, 0.025, 0.311)
Se (0.760, 0.975, 0.689)

=====

(4)
Compound: VCoHRu2
Source: Alexandria
Functional: PBE-GGA
Structure: optimized geometry

theoretical density = 9.6 g/cm3
relative energy among the computed polymorphs = 1.40 kcal/mol of atoms
magnetic moment = 0.00 μB per atom

Cell lengths 3.792, 3.792, 3.750 Å; angles 90.00, 90.00, 90.00 degrees
Fractional coordinates of all 5 atoms:
Ru (0.000, 0.500, 0.000)
Ru (0.500, 0.000, 0.000)
Co (0.500, 0.500, 0.500)
H (0.000, 0.000, 0.000)
V (0.000, 0.000, 0.500)

=====

(5)
Compound: TcNiH
Source: Alexandria
Functional: PBE-GGA
Structure: optimized geometry

theoretical density = 9.5 g/cm3
relative energy among the computed polymorphs = 0.36 kcal/mol of atoms
magnetic moment = 0.00 μB per atom

Cell lengths 3.648, 4.698, 3.922 Å; angles 65.35, 90.01, 67.17 degrees
Fractional coordinates of all 6 atoms:
H (0.833, 0.768, 0.490)
H (0.578, 0.277, 0.735)
Tc (0.577, 0.280, 0.233)
Tc (0.835, 0.765, 0.992)
Ni (0.078, 0.279, 0.734)
Ni (0.334, 0.766, 0.491)

=====

(6)
Compound: Dy6Tm12Th
Source: Alexandria
Functional: PBE-GGA
Structure: optimized geometry

theoretical density = 8.8 g/cm3
relative energy among the computed polymorphs = 1.66 kcal/mol of atoms
formation energy from the elements = 0.225 eV per atom
magnetic moment = 0.00 μB per atom

Cell lengths 8.612, 8.612, 8.612 Å; angles 99.79, 99.79, 99.79 degrees
Fractional coordinates of all 19 atoms:
Dy (0.893, 0.337, 0.893)
Dy (0.893, 0.893, 0.337)
Dy (0.337, 0.893, 0.893)
Dy (0.107, 0.107, 0.663)
Dy (0.107, 0.663, 0.107)
Dy (0.663, 0.107, 0.107)
Tm (0.756, 0.244, 0.500)
Tm (0.346, 0.077, 0.346)
Tm (0.346, 0.346, 0.077)
Tm (0.923, 0.654, 0.654)
Tm (0.654, 0.654, 0.923)
Tm (0.654, 0.923, 0.654)
Tm (0.500, 0.756, 0.244)
Tm (0.244, 0.500, 0.756)
Tm (0.244, 0.756, 0.500)
Tm (0.500, 0.244, 0.756)
Tm (0.756, 0.500, 0.244)
Tm (0.077, 0.346, 0.346)
Th (0.000, 0.000, 0.000)